[1]
V2RuW | PBE | optimized geometry

Summary:
Its calculated total energy is -40.01 eV/cell. The formation energy from the elements comes out at 11.1 kJ/mol of atoms. For the volume, the calculation gives 59 Å³ per cell. The calculation puts the distance to the lowest polymorph of the same formula at 0.336 eV/atom.

abc: 2.8892 2.8892 8.2758
angles: 79.95 79.95 60.00
Positions (direct):
1 V 0.7482 0.7482 0.7555
2 Ru 0.0000 0.0000 0.0000
3 V 0.2518 0.2518 0.2445
4 W 0.5000 0.5000 0.5000

[2]
Y2InCuC | PBE | optimized geometry

Summary:
Its calculated total energy is -30.10 eV/cell. The formation energy from the elements comes out at -21.5 kJ/mol of atoms. For the volume, the calculation gives 100 Å³ per cell.

abc: 5.0254 5.0254 3.9566
angles: 90.00 90.00 90.00
Positions (direct):
1 C 0.0000 0.0000 0.0000
2 In 0.5000 0.5000 0.5000
3 Y 0.5000 0.0000 0.0000
4 Cu 0.0000 0.0000 0.5000
5 Y 0.0000 0.5000 0.0000

[3]
TiNbReOs | PBE | optimized geometry

Summary:
Its calculated total energy is -43.43 eV/cell. The formation energy from the elements comes out at -43.2 kJ/mol of atoms. For the volume, the calculation gives 63 Å³ per cell. The calculation puts the distance to the lowest polymorph of the same formula at 0.000 eV/atom.

abc: 4.4601 4.4601 4.4601
angles: 60.00 60.00 60.00
Positions (direct):
1 Os 0.0000 0.0000 0.0000
2 Re 0.5000 0.5000 0.5000
3 Nb 0.7500 0.7500 0.7500
4 Ti 0.2500 0.2500 0.2500

[4]
Be2Fe2As | PBE | optimized geometry

Summary:
Its calculated total energy is -58.02 eV/cell. The formation energy from the elements comes out at 0.3 kJ/mol of atoms. For the volume, the calculation gives 102 Å³ per cell. The calculation puts the distance to the lowest polymorph of the same formula at 0.000 eV/atom.

abc: 5.7586 5.7586 3.0900
angles: 90.00 90.00 90.00
Site moments in Bohr magnetons follow the coordinates.
Positions (direct):
1 Fe 0.6706 0.8294 0.5000  1.65
2 Be 0.1226 0.3774 0.0000  -0.06
3 Fe 0.3294 0.1706 0.5000  1.65
4 As 0.0000 0.0000 0.0000  0.02
5 Be 0.6226 0.1226 0.0000  -0.06
6 Be 0.8774 0.6226 0.0000  -0.06
7 As 0.5000 0.5000 0.0000  0.02
8 Be 0.3774 0.8774 0.0000  -0.06
9 Fe 0.8294 0.3294 0.5000  1.66
10 Fe 0.1706 0.6706 0.5000  1.66